First-principles (PBE-GGA) data for Tb3HoPt after structural relaxation, as listed in the Alexandria database.

Output
* E_tot: -5.367 eV/atom
* energy relative to the elements: -465 meV/atom
* symmetry: No. 11
* ρ: 9.73 Mg/m³

Lattice parameters (Å, degrees): 6.4083 5.1526 8.7082 90.00 96.77 90.00
Fractional coordinates of all 10 atoms:
Tb: 0.1748 0.2500 0.0213
Tb: 0.2150 0.2500 0.4411
Tb: 0.2765 0.7500 0.7583
Tb: 0.7235 0.2500 0.2417
Tb: 0.7850 0.7500 0.5589
Tb: 0.8252 0.7500 0.9788
Ho: 0.3889 0.7500 0.2116
Ho: 0.6111 0.2500 0.7884
Pt: 0.0287 0.2500 0.7103
Pt: 0.9713 0.7500 0.2897

---

First-principles (PBE-GGA) data for TbHoPt2 after structural relaxation, as listed in the Alexandria database.

Output
* E_tot: -6.545 eV/atom
* energy relative to the elements: -1223 meV/atom
* symmetry: No. 123
* ρ: 13.90 Mg/m³
* offset from the most stable computed form: 0.242 eV/f.u.

Lattice parameters (Å, degrees): 4.9665 4.9665 3.4574 90.00 90.00 90.00
Fractional coordinates of all 4 atoms:
Tb: 0.0000 0.0000 0.0000
Ho: 0.5000 0.5000 0.0000
Pt: 0.0000 0.5000 0.5000
Pt: 0.5000 0.0000 0.5000

---

First-principles (PBE-GGA) data for Tb2Ho3Pt4 after structural relaxation, as listed in the Alexandria database.

Output
* E_tot: -6.427 eV/atom
* energy relative to the elements: -1187 meV/atom
* symmetry: No. 14
* ρ: 12.68 Mg/m³

Lattice parameters (Å, degrees): 7.6322 7.6717 7.5705 90.00 109.69 90.00
Fractional coordinates of all 18 atoms:
Tb: 0.1943 0.1797 0.0750
Tb: 0.1943 0.3203 0.5750
Tb: 0.8057 0.6797 0.4250
Tb: 0.8057 0.8203 0.9250
Ho: 0.2437 0.6664 0.2465
Ho: 0.2437 0.8336 0.7465
Ho: 0.5000 0.0000 0.5000
Ho: 0.5000 0.5000 0.0000
Ho: 0.7563 0.1664 0.2535
Ho: 0.7563 0.3336 0.7535
Pt: 0.0873 0.5349 0.8524
Pt: 0.0873 0.9651 0.3524
Pt: 0.4902 0.1354 0.8683
Pt: 0.4902 0.3646 0.3683
Pt: 0.5098 0.6354 0.6317
Pt: 0.5098 0.8646 0.1317
Pt: 0.9127 0.0349 0.6476
Pt: 0.9127 0.4651 0.1476

---

First-principles (PBE-GGA) data for Tb3Ho4Pt4 after structural relaxation, as listed in the Alexandria database.

Output
* E_tot: -6.028 eV/atom
* energy relative to the elements: -904 meV/atom
* symmetry: No. 71
* ρ: 11.66 Mg/m³

Lattice parameters (Å, degrees): 8.9636 8.9636 8.9636 151.28 127.29 61.13
Fractional coordinates of all 11 atoms:
Tb: 0.0000 0.0000 0.0000
Tb: 0.3978 0.8978 0.5000
Tb: 0.6022 0.1022 0.5000
Ho: 0.0368 0.3301 0.7067
Ho: 0.3766 0.6699 0.7067
Ho: 0.6234 0.3301 0.2933
Ho: 0.9632 0.6699 0.2933
Pt: 0.2137 0.2137 0.0000
Pt: 0.3177 0.5000 0.8177
Pt: 0.6823 0.5000 0.1823
Pt: 0.7863 0.7863 0.0000

---

First-principles (PBE-GGA) data for TbHoPt2 after structural relaxation, as listed in the Alexandria database.

Output
* E_tot: -6.543 eV/atom
* energy relative to the elements: -1221 meV/atom
* symmetry: No. 225
* ρ: 13.87 Mg/m³
* offset from the most stable computed form: 0.248 eV/f.u.

Lattice parameters (Å, degrees): 4.9449 4.9449 4.9449 60.00 60.00 60.00
Fractional coordinates of all 4 atoms:
Tb: 0.0000 0.0000 0.0000
Ho: 0.5000 0.5000 0.5000
Pt: 0.2500 0.2500 0.2500
Pt: 0.7500 0.7500 0.7500

---

First-principles (PBE-GGA) data for Tb2HoPt3 after structural relaxation, as listed in the Alexandria database.

Output
* E_tot: -6.543 eV/atom
* energy relative to the elements: -1216 meV/atom
* symmetry: No. 59
* ρ: 13.81 Mg/m³
* offset from the most stable computed form: 0.000 eV/f.u.

Lattice parameters (Å, degrees): 4.9756 14.9321 3.4572 90.00 90.00 90.00
Fractional coordinates of all 12 atoms:
Tb: 0.2500 0.0835 0.0010
Tb: 0.2500 0.4165 0.0010
Tb: 0.7500 0.5835 0.9990
Tb: 0.7500 0.9165 0.9990
Ho: 0.2500 0.7500 0.9988
Ho: 0.7500 0.2500 0.0012
Pt: 0.2500 0.2500 0.5003
Pt: 0.2500 0.5860 0.4983
Pt: 0.2500 0.9140 0.4983
Pt: 0.7500 0.0860 0.5017
Pt: 0.7500 0.4140 0.5017
Pt: 0.7500 0.7500 0.4997

---

ρ of number 5 (TbHoPt2)?
13.87 Mg/m³